## FeCu2Bi (PBE)

Data for crystalline FeCu2Bi at its relaxed geometry.

The space group is F-43m (No. 216) and the conventional cell measures 6.203, 6.203 and 6.203 Å, with angles of 90.00, 90.00 and 90.00 degrees. Symmetry generates all atoms from Fe at (0.000, 0.000, 0.000), Cu at (0.000, 0.000, 0.500), Cu at (0.250, 0.250, 0.750) and Bi at (0.250, 0.250, 0.250).

The calculation puts the volume at 238.7 Å³ per cell. The value obtained for the total energy is -71.97 eV/cell.

## LiInCo2 (PBE)

Data for crystalline LiInCo2 at its relaxed geometry.

The space group is F-43m (No. 216) and the conventional cell measures 5.948, 5.948 and 5.948 Å, with angles of 90.00, 90.00 and 90.00 degrees. Symmetry generates all atoms from Li at (0.000, 0.000, 0.000), In at (0.250, 0.250, 0.750), Co at (0.000, 0.000, 0.500) and Co at (0.250, 0.250, 0.250).

The calculation puts the volume at 210.4 Å³ per cell. The value obtained for the total energy is -72.43 eV/cell.

## NaTaAsO (PBE)

Data for crystalline NaTaAsO at its relaxed geometry.

The space group is P4/nmm (No. 129, origin choice 2) and the conventional cell measures 4.200, 4.200 and 7.751 Å, with angles of 90.00, 90.00 and 90.00 degrees. Symmetry generates all atoms from Na at (0.250, 0.250, 0.107), Ta at (0.250, 0.750, 0.500), As at (0.250, 0.250, 0.700) and O at (0.250, 0.750, 0.000).

The calculation puts the volume at 136.7 Å³ per cell. For the energy above the most stable polymorph in this dataset, the calculation gives 1.039 eV per atom.